1.
Below is a geometry-optimized NaAlS2 structure, with properties calculated at the GGA-PBE level.

Structure (CIF):
```
data_NaAlS2
_cell_length_a 9.198
_cell_length_b 9.198
_cell_length_c 5.564
_cell_angle_alpha 90.00
_cell_angle_beta 90.00
_cell_angle_gamma 157.65
_space_group_name_H-M_alt 'P 1'
_space_group_IT_number 1
_space_group_name_Hall 'P 1'
loop_
_atom_site_label
_atom_site_type_symbol
_atom_site_fract_x
_atom_site_fract_y
_atom_site_fract_z
Al1 Al 0.322 0.678 0.250
Na1 Na 0.938 0.062 0.750
Na2 Na 0.062 0.938 0.250
Al2 Al 0.678 0.322 0.750
S1 S 0.906 0.094 0.250
S2 S 0.204 0.796 0.250
S3 S 0.094 0.906 0.750
S4 S 0.796 0.204 0.750
```

Calculated values
**Uncorrected energy**: -32.492 eV for the cell shown

2.
Below is a geometry-optimized NaAlS2 structure, with properties calculated at the GGA-PBE level.

Structure (CIF):
```
data_NaAlS2
_cell_length_a 3.561
_cell_length_b 3.561
_cell_length_c 7.025
_cell_angle_alpha 75.32
_cell_angle_beta 75.32
_cell_angle_gamma 60.00
_space_group_name_H-M_alt 'P 1'
_space_group_IT_number 1
_space_group_name_Hall 'P 1'
loop_
_atom_site_label
_atom_site_type_symbol
_atom_site_fract_x
_atom_site_fract_y
_atom_site_fract_z
S1 S 0.267 0.267 0.198
S2 S 0.066 0.066 0.801
Al1 Al 0.667 0.667 0.999
Na1 Na 0.499 0.499 0.502
```

Calculated values
**Uncorrected energy**: -17.938 eV for the cell shown

3.
Below is a geometry-optimized NaAlS2 structure, with properties calculated at the GGA-PBE level.

Structure (CIF):
```
data_NaAlS2
_cell_length_a 6.904
_cell_length_b 3.890
_cell_length_c 11.967
_cell_angle_alpha 90.00
_cell_angle_beta 90.00
_cell_angle_gamma 90.00
_space_group_name_H-M_alt 'P 1'
_space_group_IT_number 1
_space_group_name_Hall 'P 1'
loop_
_atom_site_label
_atom_site_type_symbol
_atom_site_fract_x
_atom_site_fract_y
_atom_site_fract_z
S1 S 0.886 0.250 0.769
S2 S 0.815 0.250 0.473
S3 S 0.185 0.750 0.527
Na1 Na 0.870 0.250 0.143
Al1 Al 0.923 0.750 0.382
Na2 Na 0.630 0.750 0.643
Al2 Al 0.077 0.250 0.618
S4 S 0.386 0.250 0.731
Al3 Al 0.577 0.250 0.882
Na3 Na 0.130 0.750 0.857
S5 S 0.114 0.750 0.231
S6 S 0.614 0.750 0.269
S7 S 0.685 0.750 0.973
Al4 Al 0.423 0.750 0.118
Na4 Na 0.370 0.250 0.357
S8 S 0.315 0.250 0.027
```

Calculated values
**Uncorrected energy**: -70.311 eV for the cell shown

4.
Below is a geometry-optimized NaAlS2 structure, with properties calculated at the GGA-PBE level.

Structure (CIF):
```
data_NaAlS2
_cell_length_a 7.242
_cell_length_b 6.639
_cell_length_c 5.949
_cell_angle_alpha 59.27
_cell_angle_beta 99.91
_cell_angle_gamma 75.34
_space_group_name_H-M_alt 'P 1'
_space_group_IT_number 1
_space_group_name_Hall 'P 1'
loop_
_atom_site_label
_atom_site_type_symbol
_atom_site_fract_x
_atom_site_fract_y
_atom_site_fract_z
Al1 Al 0.372 0.245 0.449
Na1 Na 0.680 0.607 0.344
Al2 Al 0.372 0.277 0.936
S1 S 0.634 0.129 0.823
S2 S 0.371 0.961 0.348
Na2 Na 0.064 0.918 0.037
S3 S 0.372 0.561 0.037
S4 S 0.109 0.393 0.562
```

Calculated values
**Uncorrected energy**: -36.255 eV for the cell shown

5.
Below is a geometry-optimized NaAlS2 structure, with properties calculated at the GGA-PBE level.

Structure (CIF):
```
data_NaAlS2
_cell_length_a 3.696
_cell_length_b 6.414
_cell_length_c 7.715
_cell_angle_alpha 90.00
_cell_angle_beta 76.15
_cell_angle_gamma 89.99
_space_group_name_H-M_alt 'P 1'
_space_group_IT_number 1
_space_group_name_Hall 'P 1'
loop_
_atom_site_label
_atom_site_type_symbol
_atom_site_fract_x
_atom_site_fract_y
_atom_site_fract_z
Al1 Al 0.494 0.081 0.580
S1 S 0.628 0.931 0.311
Na1 Na 0.883 0.558 0.801
Al2 Al 0.642 0.581 0.284
Na2 Na 0.252 0.058 0.064
S2 S 0.907 0.998 0.753
S3 S 0.507 0.431 0.553
S4 S 0.228 0.498 0.111
```

Calculated values
**Uncorrected energy**: -36.180 eV for the cell shown

6.
Below is a geometry-optimized NaAlS2 structure, with properties calculated at the GGA-PBE level.

Structure (CIF):
```
data_NaAlS2
_cell_length_a 3.735
_cell_length_b 3.735
_cell_length_c 5.054
_cell_angle_alpha 90.00
_cell_angle_beta 90.00
_cell_angle_gamma 90.00
_space_group_name_H-M_alt 'P 1'
_space_group_IT_number 1
_space_group_name_Hall 'P 1'
loop_
_atom_site_label
_atom_site_type_symbol
_atom_site_fract_x
_atom_site_fract_y
_atom_site_fract_z
Al1 Al 0.500 0.500 0.000
S1 S 0.000 0.000 0.000
Na1 Na 0.000 0.000 0.500
S2 S 0.500 0.500 0.500
```

Calculated values
**Uncorrected energy**: -16.210 eV for the cell shown

7.
Below is a geometry-optimized NaAlS2 structure, with properties calculated at the GGA-PBE level.

Structure (CIF):
```
data_NaAlS2
_cell_length_a 6.785
_cell_length_b 7.173
_cell_length_c 5.873
_cell_angle_alpha 114.04
_cell_angle_beta 89.99
_cell_angle_gamma 61.79
_space_group_name_H-M_alt 'P 1'
_space_group_IT_number 1
_space_group_name_Hall 'P 1'
loop_
_atom_site_label
_atom_site_type_symbol
_atom_site_fract_x
_atom_site_fract_y
_atom_site_fract_z
Na1 Na 0.038 0.763 0.923
Al1 Al 0.732 0.372 0.225
Na2 Na 0.428 0.981 0.530
S1 S 0.798 0.593 0.086
S2 S 0.444 0.592 0.584
Al2 Al 0.732 0.372 0.725
S3 S 0.020 0.152 0.365
S4 S 0.666 0.150 0.865
```

Calculated values
**Uncorrected energy**: -36.113 eV for the cell shown

8.
Below is a geometry-optimized NaAlS2 structure, with properties calculated at the GGA-PBE level.

Structure (CIF):
```
data_NaAlS2
_cell_length_a 7.156
_cell_length_b 3.461
_cell_length_c 14.115
_cell_angle_alpha 90.00
_cell_angle_beta 90.00
_cell_angle_gamma 90.00
_space_group_name_H-M_alt 'P 1'
_space_group_IT_number 1
_space_group_name_Hall 'P 1'
loop_
_atom_site_label
_atom_site_type_symbol
_atom_site_fract_x
_atom_site_fract_y
_atom_site_fract_z
Al1 Al 0.980 0.250 0.099
Na1 Na 0.420 0.750 0.122
Al2 Al 0.480 0.250 0.401
Al3 Al 0.520 0.750 0.599
Na2 Na 0.920 0.750 0.378
S1 S 0.785 0.750 0.019
Al4 Al 0.020 0.750 0.901
S2 S 0.715 0.250 0.519
Na3 Na 0.080 0.250 0.622
S3 S 0.065 0.750 0.198
S4 S 0.935 0.250 0.802
S5 S 0.435 0.250 0.698
S6 S 0.565 0.750 0.302
S7 S 0.215 0.250 0.981
S8 S 0.285 0.750 0.481
Na4 Na 0.580 0.250 0.878
```

Calculated values
**Uncorrected energy**: -70.409 eV for the cell shown

9.
Below is a geometry-optimized NaAlS2 structure, with properties calculated at the GGA-PBE level.

Structure (CIF):
```
data_NaAlS2
_cell_length_a 3.599
_cell_length_b 3.599
_cell_length_c 7.099
_cell_angle_alpha 90.00
_cell_angle_beta 90.00
_cell_angle_gamma 120.00
_space_group_name_H-M_alt 'P 1'
_space_group_IT_number 1
_space_group_name_Hall 'P 1'
loop_
_atom_site_label
_atom_site_type_symbol
_atom_site_fract_x
_atom_site_fract_y
_atom_site_fract_z
Na1 Na 0.333 0.667 0.445
S1 S 0.333 0.667 0.822
S2 S 0.667 0.333 0.192
Al1 Al 0.000 0.000 0.996
```

Calculated values
**Uncorrected energy**: -17.703 eV for the cell shown

10.
Below is a geometry-optimized NaAl2S4 structure, with properties calculated at the GGA-PBE level.

Structure (CIF):
```
data_NaAl2S4
_cell_length_a 3.474
_cell_length_b 6.342
_cell_length_c 11.948
_cell_angle_alpha 90.00
_cell_angle_beta 90.00
_cell_angle_gamma 105.90
_space_group_name_H-M_alt 'P 1'
_space_group_IT_number 1
_space_group_name_Hall 'P 1'
loop_
_atom_site_label
_atom_site_type_symbol
_atom_site_fract_x
_atom_site_fract_y
_atom_site_fract_z
S1 S 0.235 0.470 0.610
Al1 Al 0.138 0.276 0.069
S2 S 0.765 0.530 0.390
S3 S 0.059 0.119 0.250
Al2 Al 0.862 0.724 0.569
S4 S 0.235 0.470 0.890
Al3 Al 0.862 0.724 0.931
Al4 Al 0.138 0.276 0.431
Na1 Na 0.387 0.774 0.250
S5 S 0.765 0.530 0.110
Na2 Na 0.613 0.226 0.750
S6 S 0.500 0.000 0.500
S7 S 0.500 0.000 0.000
S8 S 0.941 0.881 0.750
```

Calculated values
**Uncorrected energy**: -62.564 eV for the cell shown

11.
Below is a geometry-optimized NaAlSbS4 structure, with properties calculated at the GGA-PBE level.

Structure (CIF):
```
data_NaAlSbS4
_cell_length_a 7.082
_cell_length_b 7.082
_cell_length_c 7.895
_cell_angle_alpha 90.00
_cell_angle_beta 90.00
_cell_angle_gamma 112.94
_space_group_name_H-M_alt 'P 1'
_space_group_IT_number 1
_space_group_name_Hall 'P 1'
loop_
_atom_site_label
_atom_site_type_symbol
_atom_site_fract_x
_atom_site_fract_y
_atom_site_fract_z
Na1 Na 0.500 0.500 0.000
S1 S 0.253 0.747 0.465
Sb1 Sb 0.148 0.852 0.750
S2 S 0.218 0.223 0.750
S3 S 0.782 0.777 0.250
S4 S 0.747 0.253 0.965
Na2 Na 0.500 0.500 0.500
Al1 Al 0.129 0.871 0.250
S5 S 0.253 0.747 0.035
Al2 Al 0.871 0.129 0.750
Sb2 Sb 0.852 0.148 0.250
S6 S 0.777 0.782 0.750
S7 S 0.223 0.218 0.250
S8 S 0.747 0.253 0.535
```

Calculated values
**Uncorrected energy**: -60.495 eV for the cell shown

12.
Below is a geometry-optimized NaAl2SbS structure, with properties calculated at the GGA-PBE level.

Structure (CIF):
```
data_NaAl2SbS
_cell_length_a 4.861
_cell_length_b 4.912
_cell_length_c 4.861
_cell_angle_alpha 90.00
_cell_angle_beta 90.00
_cell_angle_gamma 90.00
_space_group_name_H-M_alt 'P 1'
_space_group_IT_number 1
_space_group_name_Hall 'P 1'
loop_
_atom_site_label
_atom_site_type_symbol
_atom_site_fract_x
_atom_site_fract_y
_atom_site_fract_z
Al1 Al 0.000 0.000 0.500
Sb1 Sb 0.500 0.500 0.500
Na1 Na 0.000 0.500 0.000
S1 S 0.000 0.000 0.000
Al2 Al 0.500 0.000 0.000
```

Calculated values
**Uncorrected energy**: -17.233 eV for the cell shown